Density functional theory data (PBE) for a relaxed La2AsPt crystal.

The space group is F-43m (No. 216) and the conventional cell measures 7.223, 7.223 and 7.223 Å, with angles of 90.00, 90.00 and 90.00 degrees. The inequivalent atoms are La at (0.000, 0.000, 0.000), La at (0.250, 0.250, 0.250), As at (0.000, 0.000, 0.500) and Pt at (0.250, 0.250, 0.750).

Its calculated formation energy is -12.14 kcal/mol of atoms. As for the crystal system: cubic.

---

Density functional theory data (PBE) for a relaxed La2Tb5Er4 crystal.

The space group is C2/m (No. 12) and the conventional cell measures 16.553, 6.684 and 6.729 Å, with angles of 90.00, 100.84 and 90.00 degrees. The inequivalent atoms are La at (0.201, 0.000, 0.299), Tb at (0.000, 0.000, 0.500), Tb at (0.088, 0.264, 0.907), Er at (0.087, 0.500, 0.405) and Er at (0.243, 0.000, 0.808).

Its calculated formation energy is 3.60 kcal/mol of atoms. The value obtained for the excess energy over the best structure of this formula in the dataset is 0.105 eV per atom. As for the crystal system: monoclinic.

---

Density functional theory data (PBE) for a relaxed SrAcHgP crystal.

The space group is F-43m (No. 216) and the conventional cell measures 7.767, 7.767 and 7.767 Å, with angles of 90.00, 90.00 and 90.00 degrees. The inequivalent atoms are Sr at (0.000, 0.000, 0.000), Ac at (0.000, 0.000, 0.500), Hg at (0.250, 0.250, 0.750) and P at (0.250, 0.250, 0.250).

Its calculated formation energy is -13.71 kcal/mol of atoms. As for the crystal system: cubic.

---

Density functional theory data (PBE) for a relaxed TbBeZnCd crystal.

The space group is F-43m (No. 216) and the conventional cell measures 6.635, 6.635 and 6.635 Å, with angles of 90.00, 90.00 and 90.00 degrees. The inequivalent atoms are Tb at (0.000, 0.000, 0.000), Be at (0.250, 0.250, 0.250), Zn at (0.250, 0.250, 0.750) and Cd at (0.000, 0.000, 0.500).

Its calculated formation energy is -2.11 kcal/mol of atoms. As for the crystal system: cubic.